# ZnN3Cl

Crystalline ZnN3Cl at its relaxed geometry (PBE, Alexandria via LeMat-Bulk).

It has space group Pm-3m (No. 221), with a = 3.751 Å, b = 3.751 Å, c = 3.751 Å, α = 90.00°, β = 90.00° and γ = 90.00°. The asymmetric unit holds Zn at (0.000, 0.000, 0.000), N at (0.000, 0.500, 0.500) and Cl at (0.500, 0.500, 0.500).

For the total magnetization, the calculation gives 0.00 μB per atom. Its uncorrected energy is -2.957 eV/atom.



# Zn2NCl

Crystalline Zn2NCl at its relaxed geometry (PBE, Alexandria via LeMat-Bulk).

It has space group Pna2_1 (No. 33), with a = 6.191 Å, b = 7.628 Å, c = 6.085 Å, α = 90.00°, β = 90.00° and γ = 90.00°. The asymmetric unit holds Zn at (0.001, 0.004, 0.000), Zn at (0.107, 0.334, 0.731), N at (0.081, 0.872, 0.248) and Cl at (0.085, 0.394, 0.278).

The energy relative to the lowest polymorph listed for this composition comes out at 0 meV per atom. For the total magnetization, the calculation gives 0.00 μB per atom. Its uncorrected energy is -3.645 eV/atom.



# Zn2NCl

Crystalline Zn2NCl at its relaxed geometry (PBE, Alexandria via LeMat-Bulk).

It has space group I-42d (No. 122), with a = 5.289 Å, b = 5.289 Å, c = 9.790 Å, α = 90.00°, β = 90.00° and γ = 90.00°. The asymmetric unit holds Zn at (0.128, 0.250, 0.125), N at (0.000, 0.000, 0.000) and Cl at (0.000, 0.000, 0.500).

The energy relative to the lowest polymorph listed for this composition comes out at 18 meV per atom. For the total magnetization, the calculation gives 0.00 μB per atom. Its uncorrected energy is -3.627 eV/atom.



# Zn2NCl

Crystalline Zn2NCl at its relaxed geometry (PBE, Alexandria via LeMat-Bulk).

It has space group Cm (No. 8), with a = 6.025 Å, b = 3.479 Å, c = 7.285 Å, α = 90.00°, β = 105.94° and γ = 90.00°. The asymmetric unit holds Zn at (0.000, 0.000, 0.000), Zn at (0.066, 0.500, 0.696), N at (0.410, 0.500, 0.728) and Cl at (0.399, 0.000, 0.199).

The energy relative to the lowest polymorph listed for this composition comes out at 190 meV per atom. For the total magnetization, the calculation gives 0.00 μB per atom. Its uncorrected energy is -3.455 eV/atom.



Q: Which of these has the highest uncorrected energy?
A: ZnN3Cl